Version w
VASP calculation (PBE-GGA) on a relaxed structure of Ac2SnBi5.

Space group: No. 65
DOS at the Fermi energy, states/eV/f.u.: 3.4
Spin magnetization, μB/f.u.: 0.00

```
16
Lattice="5.166 0.000 0.000 0.000 9.771 0.000 0.000 0.000 10.411" Properties=species:S:1:pos:R:3 pbc="T T T"
Ac 2.583 4.886 2.597
Ac 2.583 4.886 7.814
Ac 2.583 9.771 7.803
Ac 2.583 0.000 2.608
Sn 0.000 4.886 5.205
Sn 0.000 0.000 0.000
Bi 0.000 0.000 5.205
Bi 0.000 4.886 0.000
Bi 0.000 7.329 2.602
Bi 0.000 2.443 7.809
Bi 0.000 7.329 7.808
Bi 0.000 2.443 2.603
Bi 2.583 7.301 5.205
Bi 2.583 2.470 5.206
Bi 2.583 7.356 10.411
Bi 2.583 2.415 0.000
```

---

Version x
VASP calculation (PBE-GGA) on a relaxed structure of Ac2SnBi5.

Space group: No. 42
DOS at the Fermi energy, states/eV/f.u.: 4.1
Spin magnetization, μB/f.u.: 0.00

```
8
Lattice="7.274 -0.032 0.000 -0.032 7.271 0.000 -3.621 -3.619 4.963" Properties=species:S:1:pos:R:3 pbc="T T T"
Ac -0.016 3.636 2.205
Ac 3.637 -0.016 2.205
Sn 0.000 0.000 2.200
Bi 1.827 -1.826 4.686
Bi -1.808 -1.807 4.686
Bi 1.808 1.808 4.686
Bi -1.827 1.827 4.686
Bi 3.621 3.620 2.207
```

---

Stability ranking, top and bottom: version x is the most stable and version w is the least stable.